Entry 1:
A relaxed structure of Nd6Pd2AuI3. Source: Alexandria via LeMat-Bulk, functional GGA-PBE.

DFT total energy ... -57.12 eV for the cell shown
Formation energy from raw total energies ... -850 meV per atom

CIF file:
```
data_Nd6Pd2AuI3
_chemical_formula_sum 'Nd6 Pd2 Au1 I3'
_cell_length_a 7.440
_cell_length_b 7.440
_cell_length_c 8.435
_cell_angle_alpha 98.45
_cell_angle_beta 98.45
_cell_angle_gamma 119.98
_symmetry_space_group_name_H-M 'P 1'
_symmetry_Int_Tables_number 1
loop_
_symmetry_equiv_pos_as_xyz
'x,y,z'
loop_
_atom_site_label
_atom_site_type_symbol
_atom_site_fract_x
_atom_site_fract_y
_atom_site_fract_z
Nd1 Nd 0.094 0.435 0.806
Nd2 Nd 0.224 0.224 0.193
Nd3 Nd 0.435 0.094 0.806
Nd4 Nd 0.565 0.906 0.194
Nd5 Nd 0.776 0.776 0.807
Nd6 Nd 0.906 0.565 0.194
Pd1 Pd 0.167 0.833 0.000
Pd2 Pd 0.833 0.167 0.000
Au1 Au 0.500 0.500 0.000
I1 I 0.000 0.000 0.500
I2 I 0.335 0.665 0.500
I3 I 0.665 0.335 0.500
```

=====

Entry 2:
A relaxed structure of Na4PuNp3Se8. Source: Alexandria via LeMat-Bulk, functional GGA-PBE.

DFT total energy ... -106.52 eV for the cell shown
Formation energy from raw total energies ... -1264 meV per atom

CIF file:
```
data_Na4PuNp3Se8
_chemical_formula_sum 'Na4 Pu1 Np3 Se8'
_cell_length_a 8.475
_cell_length_b 8.475
_cell_length_c 8.475
_cell_angle_alpha 59.33
_cell_angle_beta 59.33
_cell_angle_gamma 59.33
_symmetry_space_group_name_H-M 'P 1'
_symmetry_Int_Tables_number 1
loop_
_symmetry_equiv_pos_as_xyz
'x,y,z'
loop_
_atom_site_label
_atom_site_type_symbol
_atom_site_fract_x
_atom_site_fract_y
_atom_site_fract_z
Na1 Na 0.000 0.000 0.000
Na2 Na 0.000 0.500 0.500
Na3 Na 0.500 0.000 0.500
Na4 Na 0.500 0.500 0.000
Pu1 Pu 0.500 0.500 0.500
Np1 Np 0.000 0.000 0.500
Np2 Np 0.000 0.500 0.000
Np3 Np 0.500 0.000 0.000
Se1 Se 0.241 0.745 0.745
Se2 Se 0.244 0.244 0.244
Se3 Se 0.255 0.255 0.759
Se4 Se 0.255 0.759 0.255
Se5 Se 0.745 0.241 0.745
Se6 Se 0.745 0.745 0.241
Se7 Se 0.756 0.756 0.756
Se8 Se 0.759 0.255 0.255
```

=====

Entry 3:
A relaxed structure of CeSm2HfP4. Source: Alexandria via LeMat-Bulk, functional GGA-PBE.

DFT total energy ... -58.71 eV for the cell shown
Formation enthalpy at 0 K ... -1.47 eV per atom

CIF file:
```
data_CeSm2HfP4
_chemical_formula_sum 'Ce1 Sm2 Hf1 P4'
_cell_length_a 6.899
_cell_length_b 3.983
_cell_length_c 6.917
_cell_angle_alpha 90.00
_cell_angle_beta 109.23
_cell_angle_gamma 90.00
_symmetry_space_group_name_H-M 'P 1'
_symmetry_Int_Tables_number 1
loop_
_symmetry_equiv_pos_as_xyz
'x,y,z'
loop_
_atom_site_label
_atom_site_type_symbol
_atom_site_fract_x
_atom_site_fract_y
_atom_site_fract_z
Ce1 Ce 0.000 0.000 0.000
Sm1 Sm 0.000 0.500 0.500
Sm2 Sm 0.500 0.000 0.500
Hf1 Hf 0.500 0.500 0.000
P1 P 0.258 0.500 0.237
P2 P 0.267 0.000 0.770
P3 P 0.733 0.000 0.230
P4 P 0.742 0.500 0.763
```

=====

Entry 4:
A relaxed structure of ScMn3Fe3. Source: Alexandria via LeMat-Bulk, functional GGA-PBE.

DFT total energy ... -108.08 eV for the cell shown
Formation enthalpy at 0 K ... 0.74 eV per atom

CIF file:
```
data_ScMn3Fe3
_chemical_formula_sum 'Sc2 Mn6 Fe6'
_cell_length_a 6.001
_cell_length_b 6.001
_cell_length_c 6.001
_cell_angle_alpha 90.00
_cell_angle_beta 90.00
_cell_angle_gamma 90.00
_symmetry_space_group_name_H-M 'P 1'
_symmetry_Int_Tables_number 1
loop_
_symmetry_equiv_pos_as_xyz
'x,y,z'
loop_
_atom_site_label
_atom_site_type_symbol
_atom_site_fract_x
_atom_site_fract_y
_atom_site_fract_z
Sc1 Sc 0.000 0.000 0.000
Sc2 Sc 0.500 0.500 0.500
Mn1 Mn 0.000 0.250 0.500
Mn2 Mn 0.000 0.750 0.500
Mn3 Mn 0.250 0.500 0.000
Mn4 Mn 0.500 0.000 0.250
Mn5 Mn 0.500 0.000 0.750
Mn6 Mn 0.750 0.500 0.000
Fe1 Fe 0.000 0.500 0.250
Fe2 Fe 0.000 0.500 0.750
Fe3 Fe 0.250 0.000 0.500
Fe4 Fe 0.500 0.250 0.000
Fe5 Fe 0.500 0.750 0.000
Fe6 Fe 0.750 0.000 0.500
```

=====

Entry 5:
A relaxed structure of Sr2LaNpAs4. Source: Alexandria via LeMat-Bulk, functional GGA-PBE.

DFT total energy ... -48.52 eV for the cell shown
Formation enthalpy at 0 K ... -1.09 eV per atom

CIF file:
```
data_Sr2LaNpAs4
_chemical_formula_sum 'Sr2 La1 Np1 As4'
_cell_length_a 7.523
_cell_length_b 4.351
_cell_length_c 7.561
_cell_angle_alpha 90.00
_cell_angle_beta 109.22
_cell_angle_gamma 90.00
_symmetry_space_group_name_H-M 'P 1'
_symmetry_Int_Tables_number 1
loop_
_symmetry_equiv_pos_as_xyz
'x,y,z'
loop_
_atom_site_label
_atom_site_type_symbol
_atom_site_fract_x
_atom_site_fract_y
_atom_site_fract_z
Sr1 Sr 0.000 0.000 0.000
Sr2 Sr 0.500 0.500 0.000
La1 La 0.000 0.500 0.500
Np1 Np 0.500 0.000 0.500
As1 As 0.262 0.000 0.723
As2 As 0.276 0.500 0.284
As3 As 0.724 0.500 0.716
As4 As 0.738 0.000 0.277
```

=====

Entry 6:
A relaxed structure of LaTb7Nd2. Source: Alexandria via LeMat-Bulk, functional GGA-PBE.

DFT total energy ... -46.37 eV for the cell shown
Formation enthalpy at 0 K ... 0.05 eV per atom
Offset from the most stable computed form ... 0 meV per atom

CIF file:
```
data_LaTb7Nd2
_chemical_formula_sum 'La1 Tb7 Nd2'
_cell_length_a 9.582
_cell_length_b 9.582
_cell_length_c 9.582
_cell_angle_alpha 146.42
_cell_angle_beta 136.48
_cell_angle_gamma 56.06
_symmetry_space_group_name_H-M 'P 1'
_symmetry_Int_Tables_number 1
loop_
_symmetry_equiv_pos_as_xyz
'x,y,z'
loop_
_atom_site_label
_atom_site_type_symbol
_atom_site_fract_x
_atom_site_fract_y
_atom_site_fract_z
La1 La 0.000 0.000 0.000
Tb1 Tb 0.144 0.392 0.751
Tb2 Tb 0.201 0.201 0.000
Tb3 Tb 0.359 0.608 0.751
Tb4 Tb 0.500 0.000 0.500
Tb5 Tb 0.641 0.392 0.249
Tb6 Tb 0.799 0.799 0.000
Tb7 Tb 0.856 0.608 0.249
Nd1 Nd 0.301 0.801 0.500
Nd2 Nd 0.699 0.199 0.500
```

=====

Entry 7:
A relaxed structure of Sm3Y7. Source: Alexandria via LeMat-Bulk, functional GGA-PBE.

DFT total energy ... -115.42 eV for the cell shown
Formation enthalpy at 0 K ... 0.17 eV per atom
Offset from the most stable computed form ... 123 meV per atom

CIF file:
```
data_Sm3Y7
_chemical_formula_sum 'Sm6 Y14'
_cell_length_a 10.817
_cell_length_b 10.817
_cell_length_c 6.531
_cell_angle_alpha 90.00
_cell_angle_beta 90.00
_cell_angle_gamma 120.00
_symmetry_space_group_name_H-M 'P 1'
_symmetry_Int_Tables_number 1
loop_
_symmetry_equiv_pos_as_xyz
'x,y,z'
loop_
_atom_site_label
_atom_site_type_symbol
_atom_site_fract_x
_atom_site_fract_y
_atom_site_fract_z
Sm1 Sm 0.202 0.405 0.000
Sm2 Sm 0.202 0.798 0.000
Sm3 Sm 0.405 0.202 0.500
Sm4 Sm 0.595 0.798 0.000
Sm5 Sm 0.798 0.202 0.500
Sm6 Sm 0.798 0.595 0.500
Y1 Y 0.059 0.530 0.662
Y2 Y 0.121 0.242 0.479
Y3 Y 0.121 0.879 0.479
Y4 Y 0.242 0.121 0.979
Y5 Y 0.333 0.667 0.340
Y6 Y 0.470 0.530 0.662
Y7 Y 0.470 0.941 0.662
Y8 Y 0.530 0.059 0.162
Y9 Y 0.530 0.470 0.162
Y10 Y 0.667 0.333 0.840
Y11 Y 0.758 0.879 0.479
Y12 Y 0.879 0.121 0.979
Y13 Y 0.879 0.758 0.979
Y14 Y 0.941 0.470 0.162
```

=====

Entry 8:
A relaxed structure of Dy4TePb. Source: Alexandria via LeMat-Bulk, functional GGA-PBE.

DFT total energy ... -55.11 eV for the cell shown
Formation energy from raw total energies ... -383 meV per atom

CIF file:
```
data_Dy4TePb
_chemical_formula_sum 'Dy8 Te2 Pb2'
_cell_length_a 8.944
_cell_length_b 8.944
_cell_length_c 7.499
_cell_angle_alpha 103.34
_cell_angle_beta 103.34
_cell_angle_gamma 41.91
_symmetry_space_group_name_H-M 'P 1'
_symmetry_Int_Tables_number 1
loop_
_symmetry_equiv_pos_as_xyz
'x,y,z'
loop_
_atom_site_label
_atom_site_type_symbol
_atom_site_fract_x
_atom_site_fract_y
_atom_site_fract_z
Dy1 Dy 0.022 0.823 0.554
Dy2 Dy 0.177 0.978 0.946
Dy3 Dy 0.257 0.456 0.871
Dy4 Dy 0.456 0.257 0.371
Dy5 Dy 0.544 0.743 0.629
Dy6 Dy 0.743 0.544 0.129
Dy7 Dy 0.823 0.022 0.054
Dy8 Dy 0.978 0.177 0.446
Te1 Te 0.000 0.500 0.500
Te2 Te 0.500 0.000 0.000
Pb1 Pb 0.354 0.646 0.250
Pb2 Pb 0.646 0.354 0.750
```

=====

Entry 9:
A relaxed structure of HfMg2B2Ir5. Source: Alexandria via LeMat-Bulk, functional GGA-PBE.

DFT total energy ... -152.85 eV for the cell shown
Formation enthalpy at 0 K ... -0.56 eV per atom

CIF file:
```
data_HfMg2B2Ir5
_chemical_formula_sum 'Hf2 Mg4 B4 Ir10'
_cell_length_a 9.704
_cell_length_b 9.704
_cell_length_c 3.004
_cell_angle_alpha 90.00
_cell_angle_beta 90.00
_cell_angle_gamma 90.00
_symmetry_space_group_name_H-M 'P 1'
_symmetry_Int_Tables_number 1
loop_
_symmetry_equiv_pos_as_xyz
'x,y,z'
loop_
_atom_site_label
_atom_site_type_symbol
_atom_site_fract_x
_atom_site_fract_y
_atom_site_fract_z
Hf1 Hf 0.000 0.000 0.000
Hf2 Hf 0.500 0.500 0.000
Mg1 Mg 0.177 0.323 0.000
Mg2 Mg 0.323 0.823 0.000
Mg3 Mg 0.677 0.177 0.000
Mg4 Mg 0.823 0.677 0.000
B1 B 0.121 0.621 0.000
B2 B 0.379 0.121 0.000
B3 B 0.621 0.879 0.000
B4 B 0.879 0.379 0.000
Ir1 Ir 0.000 0.500 0.500
Ir2 Ir 0.072 0.778 0.500
Ir3 Ir 0.222 0.072 0.500
Ir4 Ir 0.278 0.572 0.500
Ir5 Ir 0.428 0.278 0.500
Ir6 Ir 0.500 0.000 0.500
Ir7 Ir 0.572 0.722 0.500
Ir8 Ir 0.722 0.428 0.500
Ir9 Ir 0.778 0.928 0.500
Ir10 Ir 0.928 0.222 0.500
```

=====

Entry 10:
A relaxed structure of K2RbPbF8. Source: Alexandria via LeMat-Bulk, functional GGA-PBE.

DFT total energy ... -49.20 eV for the cell shown
Formation energy from raw total energies ... -2280 meV per atom

CIF file:
```
data_K2RbPbF8
_chemical_formula_sum 'K2 Rb1 Pb1 F8'
_cell_length_a 5.418
_cell_length_b 5.532
_cell_length_c 8.239
_cell_angle_alpha 90.00
_cell_angle_beta 89.79
_cell_angle_gamma 87.99
_symmetry_space_group_name_H-M 'P 1'
_symmetry_Int_Tables_number 1
loop_
_symmetry_equiv_pos_as_xyz
'x,y,z'
loop_
_atom_site_label
_atom_site_type_symbol
_atom_site_fract_x
_atom_site_fract_y
_atom_site_fract_z
K1 K 0.001 0.000 0.233
K2 K 0.999 0.000 0.767
Rb1 Rb 0.500 0.500 0.500
Pb1 Pb 0.500 0.500 0.000
F1 F 0.272 0.382 0.191
F2 F 0.274 0.379 0.810
F3 F 0.288 0.826 0.999
F4 F 0.315 0.992 0.500
F5 F 0.685 0.008 0.500
F6 F 0.712 0.174 0.001
F7 F 0.726 0.621 0.190
F8 F 0.728 0.618 0.809
```

=====

Entry 11:
A relaxed structure of CuBi2WBr. Source: Alexandria via LeMat-Bulk, functional GGA-PBE.

DFT total energy ... -22.84 eV for the cell shown
Formation energy from raw total energies ... 728 meV per atom

CIF file:
```
data_CuBi2WBr
_chemical_formula_sum 'Cu1 Bi2 W1 Br1'
_cell_length_a 5.386
_cell_length_b 5.386
_cell_length_c 4.883
_cell_angle_alpha 90.00
_cell_angle_beta 90.00
_cell_angle_gamma 90.00
_symmetry_space_group_name_H-M 'P 1'
_symmetry_Int_Tables_number 1
loop_
_symmetry_equiv_pos_as_xyz
'x,y,z'
loop_
_atom_site_label
_atom_site_type_symbol
_atom_site_fract_x
_atom_site_fract_y
_atom_site_fract_z
Cu1 Cu 0.000 0.000 0.000
Bi1 Bi 0.000 0.500 0.500
Bi2 Bi 0.500 0.000 0.500
W1 W 0.000 0.000 0.500
Br1 Br 0.500 0.500 0.000
```

=====

Entry 12:
A relaxed structure of MgPbC2. Source: Alexandria via LeMat-Bulk, functional GGA-PBE.

DFT total energy ... -15.89 eV for the cell shown
Formation enthalpy at 0 K ... 1.97 eV per atom
Offset from the most stable computed form ... 380 meV per atom

CIF file:
```
data_MgPbC2
_chemical_formula_sum 'Mg1 Pb1 C2'
_cell_length_a 4.329
_cell_length_b 4.329
_cell_length_c 4.329
_cell_angle_alpha 60.00
_cell_angle_beta 60.00
_cell_angle_gamma 60.00
_symmetry_space_group_name_H-M 'P 1'
_symmetry_Int_Tables_number 1
loop_
_symmetry_equiv_pos_as_xyz
'x,y,z'
loop_
_atom_site_label
_atom_site_type_symbol
_atom_site_fract_x
_atom_site_fract_y
_atom_site_fract_z
Mg1 Mg 0.000 0.000 0.000
Pb1 Pb 0.500 0.500 0.500
C1 C 0.250 0.250 0.250
C2 C 0.750 0.750 0.750
```